A plane-wave DFT calculation with GGA-PBE was carried out for crystalline LiCa3Sc2S6 at its relaxed geometry.

Computed properties:
Total DFT energy (no corrections) ... -5.727 eV per atom
Density ... 2.78 g/cm3
E_form (uncorrected) ... -1947.9 meV per atom

a b c (Å): 6.6777 6.6777 6.7030
angles (deg): 99.56 99.56 119.98
Positions (direct):
1 S 0.4168 0.0770 0.2304
2 S 0.7368 0.7368 0.2289
3 S 0.5832 0.9230 0.7696
4 S 0.9230 0.5832 0.7696
5 S 0.0770 0.4168 0.2304
6 S 0.2632 0.2632 0.7711
7 Li 0.0000 0.0000 0.0000
8 Ca 0.5000 0.5000 0.5000
9 Ca 0.1642 0.8358 0.5000
10 Ca 0.8358 0.1642 0.5000
11 Sc 0.3328 0.6672 0.0000
12 Sc 0.6672 0.3328 0.0000



A plane-wave DFT calculation with GGA-PBE was carried out for crystalline LiCaScS3 at its relaxed geometry.

Computed properties:
Total DFT energy (no corrections) ... -5.574 eV per atom
Density ... 2.61 g/cm3
E_form (uncorrected) ... -1802.5 meV per atom

a b c (Å): 3.7985 7.8426 8.2973
angles (deg): 104.06 90.00 90.00
Positions (direct):
1 S 0.7500 0.2269 0.5154
2 S 0.7500 0.4410 0.1613
3 S 0.2500 0.5590 0.8387
4 S 0.2500 0.7731 0.4846
5 S 0.7500 0.8892 0.1290
6 S 0.2500 0.1108 0.8710
7 Li 0.2500 0.0876 0.5881
8 Li 0.7500 0.9124 0.4119
9 Sc 0.2500 0.6703 0.1631
10 Sc 0.7500 0.3297 0.8369
11 Ca 0.2500 0.1954 0.2372
12 Ca 0.7500 0.8046 0.7628



Number 2 is which compound? LiCaScS3